This record from Alexandria via LeMat-Bulk describes a geometry-optimized BeGe3Mo structure. The functional is PBE.

Properties
Its formation energy is 802 meV/atom. For the energy above the most stable polymorph in this dataset, the calculation gives 0.0000 eV per atom.

Cell lengths 4.890, 4.890, 4.890 Å; angles 90.00, 90.00, 90.00 degrees
Atoms (fractional coordinates):
Ge  0.500  0.000  0.000
Ge  0.000  0.500  0.000
Ge  0.000  0.000  0.500
Mo  0.000  0.000  0.000
Be  0.500  0.500  0.500